Record 1
# Mg8Sn3

Mg8Sn3 after structural relaxation (PBE-GGA, the Alexandria database). Values from VASP.

Output
E_form = -26.7 meV per atom
symmetry = Pm-3m, No. 221

Quantum ESPRESSO input file:
```
&SYSTEM
  ibrav = 0, nat = 11, ntyp = 2
/
ATOMIC_SPECIES
Mg 24.30 Mg.upf
Sn 118.71 Sn.upf
CELL_PARAMETERS angstrom
-4.172 -0.066 5.254
4.984 -2.171 3.933
1.661 6.348 1.403
ATOMIC_POSITIONS crystal
Mg 0.759 0.759 0.241
Mg 0.241 0.759 0.759
Mg 0.759 0.241 0.759
Mg 0.759 0.759 0.759
Mg 0.241 0.241 0.241
Mg 0.241 0.241 0.759
Mg 0.241 0.759 0.241
Mg 0.759 0.241 0.241
Sn 0.500 0.500 0.000
Sn 0.500 0.000 0.500
Sn 0.000 0.500 0.500
```

***

Record 2
# Mg5Sn2

Mg5Sn2 after structural relaxation (PBE-GGA, the Alexandria database). Values from VASP.

Output
excess energy over the best structure of this formula in the dataset = 3.3 kJ per mole of atoms
E_form = -90.7 meV per atom
symmetry = C2/c, No. 15

Quantum ESPRESSO input file:
```
&SYSTEM
  ibrav = 0, nat = 14, ntyp = 2
/
ATOMIC_SPECIES
Sn 118.71 Sn.upf
Mg 24.30 Mg.upf
CELL_PARAMETERS angstrom
-0.389 5.240 -1.361
-5.484 -1.890 -5.709
-4.876 -1.600 6.056
ATOMIC_POSITIONS crystal
Sn 0.781 0.606 0.174
Sn 0.393 0.106 0.174
Sn 0.219 0.394 0.826
Sn 0.607 0.894 0.826
Mg 0.446 0.181 0.572
Mg 0.126 0.681 0.572
Mg 0.197 0.750 0.000
Mg 0.874 0.319 0.428
Mg 0.679 0.537 0.718
Mg 0.803 0.250 0.000
Mg 0.039 0.037 0.718
Mg 0.554 0.819 0.428
Mg 0.321 0.463 0.282
Mg 0.961 0.963 0.282
```

***

Record 3
# MgSn4

MgSn4 after structural relaxation (PBE-GGA, the Alexandria database). Values from VASP.

Output
excess energy over the best structure of this formula in the dataset = 1.6 kJ per mole of atoms
E_form = 29.7 meV per atom
symmetry = P2_1/c, No. 14

Quantum ESPRESSO input file:
```
&SYSTEM
  ibrav = 0, nat = 10, ntyp = 2
/
ATOMIC_SPECIES
Sn 118.71 Sn.upf
Mg 24.30 Mg.upf
CELL_PARAMETERS angstrom
4.500 0.000 0.000
0.000 6.064 -0.272
0.000 -2.024 10.641
ATOMIC_POSITIONS crystal
Sn 0.938 0.870 0.294
Sn 0.750 0.488 0.586
Sn 0.250 0.512 0.414
Sn 0.250 0.512 0.914
Sn 0.062 0.130 0.706
Sn 0.438 0.130 0.206
Sn 0.750 0.488 0.086
Sn 0.562 0.870 0.794
Mg 0.500 0.000 0.500
Mg 0.000 0.000 0.000
```

***

Record 4
# MgSn3

MgSn3 after structural relaxation (PBE-GGA, the Alexandria database). Values from VASP.

Output
E_form = -10.7 meV per atom
symmetry = Pm-3m, No. 221

Quantum ESPRESSO input file:
```
&SYSTEM
  ibrav = 0, nat = 4, ntyp = 2
/
ATOMIC_SPECIES
Sn 118.71 Sn.upf
Mg 24.30 Mg.upf
CELL_PARAMETERS angstrom
4.710 0.000 0.000
0.000 4.710 0.000
0.000 0.000 4.710
ATOMIC_POSITIONS crystal
Sn 0.500 0.000 0.500
Sn 0.000 0.500 0.500
Sn 0.500 0.500 0.000
Mg 0.000 0.000 0.000
```

***

Record 5
# MgSn

MgSn after structural relaxation (PBE-GGA, the Alexandria database). Values from VASP.

Output
E_form = -85.0 meV per atom
symmetry = Cm, No. 8

Quantum ESPRESSO input file:
```
&SYSTEM
  ibrav = 0, nat = 6, ntyp = 2
/
ATOMIC_SPECIES
Sn 118.71 Sn.upf
Mg 24.30 Mg.upf
CELL_PARAMETERS angstrom
5.862 -0.029 0.098
4.910 3.202 0.098
2.671 0.787 7.835
ATOMIC_POSITIONS crystal
Sn 0.322 0.322 0.332
Sn 0.982 0.982 0.612
Sn 0.257 0.257 0.948
Mg 0.604 0.604 0.270
Mg 0.976 0.976 0.003
Mg 0.693 0.693 0.669
```

***

Record 6
# MgSn

MgSn after structural relaxation (PBE-GGA, the Alexandria database). Values from VASP.

Output
E_form = -87.6 meV per atom
symmetry = C2/m, No. 12

Quantum ESPRESSO input file:
```
&SYSTEM
  ibrav = 0, nat = 6, ntyp = 2
/
ATOMIC_SPECIES
Mg 24.30 Mg.upf
Sn 118.71 Sn.upf
CELL_PARAMETERS angstrom
-0.478 -3.900 -3.540
-1.373 -4.838 1.635
-6.164 -0.109 -1.085
ATOMIC_POSITIONS crystal
Mg 0.417 0.583 0.500
Mg 0.737 0.903 0.113
Mg 0.097 0.263 0.887
Sn 0.416 0.584 0.000
Sn 0.098 0.266 0.389
Sn 0.734 0.902 0.611
```